Entry 1:
{"formula": "Be2SiSe", "functional": "GGA-PBE", "state": "relaxed", "lattice_angstrom": [[1.648, 0.951, 5.970], [-1.648, 0.951, 5.970], [0.000, -1.903, 5.970]], "species": ["Be", "Be", "Si", "Se"], "frac_coords": [[0.245, 0.245, 0.245], [0.755, 0.755, 0.755], [0.000, 0.000, 0.000], [0.500, 0.500, 0.500]]}


Entry 2:
{"formula": "Be2SiSe", "functional": "GGA-PBE", "state": "relaxed", "lattice_angstrom": [[3.307, 0.000, 0.000], [0.000, 3.315, 0.000], [0.000, 0.000, 5.392]], "species": ["Be", "Be", "Si", "Se"], "frac_coords": [[0.000, 0.000, 0.000], [0.500, 0.000, 0.500], [0.000, 0.500, 0.500], [0.500, 0.500, 0.000]]}


Entry 3:
{"formula": "BeSi2Se", "functional": "GGA-PBE", "state": "relaxed", "lattice_angstrom": [[-1.581, 2.373, 4.349], [1.581, -2.373, 4.349], [1.581, 2.373, -4.349]], "species": ["Be", "Si", "Si", "Se"], "frac_coords": [[0.000, 0.000, 0.000], [0.537, 0.537, 0.000], [0.790, 0.290, 0.500], [0.182, 0.682, 0.500]]}


One value per record, in order, for calculated total energy: -3.870, -3.553, -4.010 eV/atom.
One value per record, in order, for ΔE to the lowest computed polymorph: 114, 431, 726 meV per atom.
One value per record, in order, for formation energy from raw total energies: 0.879, 2.148, 2.016 eV/f.u..